*1*
DFT (PBE-GGA) results for an optimized crystal structure of LuInCoPd.

The structure in POSCAR format:
```
LuInCoPd
1.0
-3.084 -2.335 -2.651
-4.133 1.948 -1.056
-0.871 1.419 -4.384
Pd Lu Co In
1 1 1 1
Direct
0.500 0.500 0.500
0.250 0.250 0.250
0.750 0.750 0.750
0.000 0.000 0.000
```


*2*
DFT (PBE-GGA) results for an optimized crystal structure of LuInCoPd.

The structure in POSCAR format:
```
LuInCoPd
1.0
0.000 3.276 3.276
3.276 0.000 3.276
3.276 3.276 0.000
In Lu Pd Co
1 1 1 1
Direct
0.000 0.000 0.000
0.500 0.500 0.500
0.250 0.250 0.250
0.750 0.750 0.750
```


Most stable structure, least stable structure: *2*, *1*.


*1*
DFT (PBE-GGA) results for an optimized crystal structure of MgTaInCo.

The structure in POSCAR format:
```
MgTaInCo
1.0
-4.374 0.012 1.408
-1.874 3.861 1.643
-3.194 2.224 -2.443
Co In Ta Mg
1 1 1 1
Direct
0.750 0.750 0.750
0.000 0.000 0.000
0.250 0.250 0.250
0.500 0.500 0.500
```


*2*
DFT (PBE-GGA) results for an optimized crystal structure of MgTaInCo.

The structure in POSCAR format:
```
MgTaInCo
1.0
0.888 -3.136 -3.138
1.949 -3.906 1.192
-2.388 -3.842 -0.098
In Co Ta Mg
1 1 1 1
Direct
0.000 0.000 0.000
0.750 0.750 0.750
0.500 0.500 0.500
0.250 0.250 0.250
```


Most stable structure, least stable structure: *2*, *1*.


*1*
DFT (PBE-GGA) results for an optimized crystal structure of MgInCoW.

The structure in POSCAR format:
```
MgInCoW
1.0
-1.601 1.789 3.787
-3.980 2.065 -0.004
-3.506 -1.886 2.063
In Co W Mg
1 1 1 1
Direct
0.000 0.000 0.000
0.750 0.750 0.750
0.500 0.500 0.500
0.250 0.250 0.250
```


*2*
DFT (PBE-GGA) results for an optimized crystal structure of MgInCoW.

The structure in POSCAR format:
```
MgInCoW
1.0
0.000 3.209 3.209
3.209 0.000 3.209
3.209 3.209 0.000
W Mg In Co
1 1 1 1
Direct
0.250 0.250 0.250
0.500 0.500 0.500
0.000 0.000 0.000
0.750 0.750 0.750
```


Most stable structure, least stable structure: *1*, *2*.


*1*
DFT (PBE-GGA) results for an optimized crystal structure of YMgInCo.

The structure in POSCAR format:
```
YMgInCo
1.0
0.000 3.396 3.396
3.396 0.000 3.396
3.396 3.396 0.000
In Co Y Mg
1 1 1 1
Direct
0.000 0.000 0.000
0.750 0.750 0.750
0.250 0.250 0.250
0.500 0.500 0.500
```


*2*
DFT (PBE-GGA) results for an optimized crystal structure of YMgInCo.

The structure in POSCAR format:
```
YMgInCo
1.0
0.000 3.385 3.385
3.385 0.000 3.385
3.385 3.385 0.000
Mg Co Y In
1 1 1 1
Direct
0.250 0.250 0.250
0.750 0.750 0.750
0.500 0.500 0.500
0.000 0.000 0.000
```


Most stable structure, least stable structure: *2*, *1*.


*1*
DFT (PBE-GGA) results for an optimized crystal structure of InCoNiMo.

The structure in POSCAR format:
```
InCoNiMo
1.0
-3.728 0.029 2.202
-1.199 3.544 2.180
-3.328 2.385 -1.408
In Ni Co Mo
1 1 1 1
Direct
0.000 0.000 0.000
0.750 0.750 0.750
0.500 0.500 0.500
0.250 0.250 0.250
```


*2*
DFT (PBE-GGA) results for an optimized crystal structure of InCoNiMo.

The structure in POSCAR format:
```
InCoNiMo
1.0
0.000 3.057 3.057
3.057 0.000 3.057
3.057 3.057 0.000
Mo Co In Ni
1 1 1 1
Direct
0.500 0.500 0.500
0.750 0.750 0.750
0.000 0.000 0.000
0.250 0.250 0.250
```


Most stable structure, least stable structure: *2*, *1*.


*1*
DFT (PBE-GGA) results for an optimized crystal structure of YInCoMo.

The structure in POSCAR format:
```
YInCoMo
1.0
0.000 3.349 3.349
3.349 0.000 3.349
3.349 3.349 0.000
Mo Y In Co
1 1 1 1
Direct
0.250 0.250 0.250
0.500 0.500 0.500
0.000 0.000 0.000
0.750 0.750 0.750
```


*2*
DFT (PBE-GGA) results for an optimized crystal structure of YInCoMo.

The structure in POSCAR format:
```
YInCoMo
1.0
-0.303 -4.470 1.465
-3.955 -2.458 -0.734
-0.043 -3.513 -3.143
Co Y Mo In
1 1 1 1
Direct
0.750 0.750 0.750
0.250 0.250 0.250
0.500 0.500 0.500
0.000 0.000 0.000
```


Most stable structure, least stable structure: *1*, *2*.


*1*
DFT (PBE-GGA) results for an optimized crystal structure of NaNbInCo.

The structure in POSCAR format:
```
NaNbInCo
1.0
-1.836 -4.081 -1.237
-4.075 -0.135 -2.220
-0.164 -1.210 -4.479
Na In Nb Co
1 1 1 1
Direct
0.750 0.750 0.750
0.000 0.000 0.000
0.250 0.250 0.250
0.500 0.500 0.500
```


*2*
DFT (PBE-GGA) results for an optimized crystal structure of NaNbInCo.

The structure in POSCAR format:
```
NaNbInCo
1.0
0.000 3.192 3.192
3.192 0.000 3.192
3.192 3.192 0.000
Co Na Nb In
1 1 1 1
Direct
0.250 0.250 0.250
0.750 0.750 0.750
0.500 0.500 0.500
0.000 0.000 0.000
```


Most stable structure, least stable structure: *2*, *1*.


*1*
DFT (PBE-GGA) results for an optimized crystal structure of NaTaInCo.

The structure in POSCAR format:
```
NaTaInCo
1.0
0.000 3.266 3.266
3.266 0.000 3.266
3.266 3.266 0.000
Ta In Co Na
1 1 1 1
Direct
0.250 0.250 0.250
0.000 0.000 0.000
0.500 0.500 0.500
0.750 0.750 0.750
```


*2*
DFT (PBE-GGA) results for an optimized crystal structure of NaTaInCo.

The structure in POSCAR format:
```
NaTaInCo
1.0
0.331 -3.270 -3.077
-0.552 -4.300 1.217
-3.677 -2.252 -1.296
Co Ta Na In
1 1 1 1
Direct
0.250 0.250 0.250
0.500 0.500 0.500
0.750 0.750 0.750
0.000 0.000 0.000
```


Most stable structure, least stable structure: *2*, *1*.


*1*
DFT (PBE-GGA) results for an optimized crystal structure of NbZnInCo.

The structure in POSCAR format:
```
NbZnInCo
1.0
0.000 3.185 3.185
3.185 0.000 3.185
3.185 3.185 0.000
Zn Nb Co In
1 1 1 1
Direct
0.500 0.500 0.500
0.250 0.250 0.250
0.750 0.750 0.750
0.000 0.000 0.000
```


*2*
DFT (PBE-GGA) results for an optimized crystal structure of NbZnInCo.

The structure in POSCAR format:
```
NbZnInCo
1.0
-2.935 -3.312 0.474
-4.259 0.915 0.913
-3.131 -0.659 -3.094
Nb Co Zn In
1 1 1 1
Direct
0.500 0.500 0.500
0.750 0.750 0.750
0.250 0.250 0.250
0.000 0.000 0.000
```


Most stable structure, least stable structure: *2*, *1*.


*1*
DFT (PBE-GGA) results for an optimized crystal structure of TaInCoNi.

The structure in POSCAR format:
```
TaInCoNi
1.0
-1.595 -1.427 3.805
-3.509 -2.596 0.060
0.413 -4.204 1.101
In Co Ta Ni
1 1 1 1
Direct
0.000 0.000 0.000
0.750 0.750 0.750
0.500 0.500 0.500
0.250 0.250 0.250
```


*2*
DFT (PBE-GGA) results for an optimized crystal structure of TaInCoNi.

The structure in POSCAR format:
```
TaInCoNi
1.0
-1.425 -3.887 1.444
-4.073 -0.395 1.574
-3.026 -2.210 -2.277
In Ta Co Ni
1 1 1 1
Direct
0.000 0.000 0.000
0.250 0.250 0.250
0.750 0.750 0.750
0.500 0.500 0.500
```


Most stable structure, least stable structure: *1*, *2*.


*1*
DFT (PBE-GGA) results for an optimized crystal structure of InCoNiW.

The structure in POSCAR format:
```
InCoNiW
1.0
0.000 3.076 3.076
3.076 0.000 3.076
3.076 3.076 0.000
W In Co Ni
1 1 1 1
Direct
0.250 0.250 0.250
0.000 0.000 0.000
0.750 0.750 0.750
0.500 0.500 0.500
```


*2*
DFT (PBE-GGA) results for an optimized crystal structure of InCoNiW.

The structure in POSCAR format:
```
InCoNiW
1.0
0.000 3.044 3.044
3.044 0.000 3.044
3.044 3.044 0.000
W Co Ni In
1 1 1 1
Direct
0.500 0.500 0.500
0.750 0.750 0.750
0.250 0.250 0.250
0.000 0.000 0.000
```


Most stable structure, least stable structure: *2*, *1*.


*1*
DFT (PBE-GGA) results for an optimized crystal structure of ZrInCoNi.

The structure in POSCAR format:
```
ZrInCoNi
1.0
0.000 3.172 3.172
3.172 0.000 3.172
3.172 3.172 0.000
Co In Ni Zr
1 1 1 1
Direct
0.750 0.750 0.750
0.000 0.000 0.000
0.500 0.500 0.500
0.250 0.250 0.250
```


*2*
DFT (PBE-GGA) results for an optimized crystal structure of ZrInCoNi.

The structure in POSCAR format:
```
ZrInCoNi
1.0
0.000 3.115 3.115
3.115 0.000 3.115
3.115 3.115 0.000
Ni Zr In Co
1 1 1 1
Direct
0.250 0.250 0.250
0.500 0.500 0.500
0.000 0.000 0.000
0.750 0.750 0.750
```


Most stable structure, least stable structure: *2*, *1*.